Computed, not measured: a geometry-optimized ZrTa2MnC4 structure at the GGA-PBE level of DFT.

Results
The value obtained for the electronic total energy is -10.133 eV/atom. For the energy of formation from the pure elements, the calculation gives -33 kJ per mole of atoms.

Cell and atoms, written as POSCAR:
```
ZrTa2MnC4
1.0
1.578 -5.382 0.000
1.578 5.382 0.000
0.000 0.000 10.846
Zr Ta Mn C
2 4 2 8
Direct
0.118 0.882 0.750
0.882 0.118 0.250
0.368 0.632 0.542
0.368 0.632 0.958
0.632 0.368 0.042
0.632 0.368 0.458
0.147 0.853 0.250
0.853 0.147 0.750
0.000 0.000 0.000
0.000 0.000 0.500
0.265 0.735 0.124
0.265 0.735 0.376
0.447 0.553 0.750
0.553 0.447 0.250
0.735 0.265 0.624
0.735 0.265 0.876
```

Computed, not measured: a geometry-optimized TbMn2C3 structure at the GGA-PBE level of DFT.

Results
The value obtained for the electronic total energy is -8.467 eV/atom. For the energy of formation from the pure elements, the calculation gives -3 kJ per mole of atoms.

Cell and atoms, written as POSCAR:
```
TbMn2C3
1.0
3.301 -4.514 0.000
3.301 4.514 0.000
0.000 0.000 4.859
Tb Mn C
2 4 6
Direct
0.204 0.796 0.750
0.796 0.204 0.250
0.311 0.311 0.000
0.311 0.311 0.500
0.689 0.689 0.000
0.689 0.689 0.500
0.031 0.183 0.750
0.183 0.031 0.250
0.414 0.586 0.250
0.586 0.414 0.750
0.817 0.969 0.750
0.969 0.817 0.250
```

Computed, not measured: a geometry-optimized TbMn12C6 structure at the GGA-PBE level of DFT.

Results
The value obtained for the electronic total energy is -9.016 eV/atom. For the energy of formation from the pure elements, the calculation gives -7 kJ per mole of atoms.

Cell and atoms, written as POSCAR:
```
TbMn12C6
1.0
4.639 2.679 2.520
-4.639 2.679 2.520
0.000 -5.357 2.520
Tb Mn C
1 12 6
Direct
0.000 0.000 0.000
0.133 0.500 0.867
0.133 0.867 0.500
0.189 0.461 0.461
0.461 0.189 0.461
0.461 0.461 0.189
0.500 0.133 0.867
0.500 0.867 0.133
0.539 0.539 0.811
0.539 0.811 0.539
0.811 0.539 0.539
0.867 0.133 0.500
0.867 0.500 0.133
0.228 0.228 0.671
0.228 0.671 0.228
0.329 0.772 0.772
0.671 0.228 0.228
0.772 0.329 0.772
0.772 0.772 0.329
```

Computed, not measured: a geometry-optimized Tb2MnC4 structure at the GGA-PBE level of DFT.

Results
The value obtained for the electronic total energy is -8.156 eV/atom. For the energy of formation from the pure elements, the calculation gives -24 kJ per mole of atoms.

Cell and atoms, written as POSCAR:
```
Tb2MnC4
1.0
-3.789 4.836 2.535
3.789 -4.836 2.535
3.789 4.836 -2.535
Tb Mn C
4 2 8
Direct
0.145 0.157 0.302
0.355 0.657 0.012
0.645 0.343 0.988
0.855 0.843 0.698
0.250 0.750 0.500
0.750 0.250 0.500
0.079 0.670 0.749
0.128 0.840 0.968
0.372 0.340 0.712
0.421 0.170 0.591
0.579 0.830 0.409
0.628 0.660 0.288
0.872 0.160 0.032
0.921 0.330 0.251
```

no.,total moment (μB/cell)
1,0.0
2,4.6
3,9.7
4,1.8